ScBeTe2 (SCAN, PBEsol geometry); volume = 194.2 Å³ per cell; uncorrected formation energy = -0.52 eV per atom
1.0
3.679 0.000 0.000
0.000 3.766 0.000
0.000 0.000 14.017
Sc Be Te
2 2 4
Cartesian
0.000 0.000 0.000
1.840 1.883 7.009
0.000 1.883 2.115
1.840 0.000 9.124
0.000 0.000 5.835
0.000 1.883 9.343
1.840 0.000 2.335
1.840 1.883 12.844

---

ScBeTe2 (SCAN, PBEsol geometry); volume = 432.0 Å³ per cell; uncorrected formation energy = -0.56 eV per atom
1.0
6.403 0.000 0.000
0.000 6.403 0.000
0.000 0.000 10.536
Sc Be Te
4 4 8
Cartesian
0.000 0.000 0.000
0.000 3.202 2.634
3.202 0.000 7.902
3.202 3.202 5.268
0.000 0.000 5.268
0.000 3.202 7.902
3.202 0.000 2.634
3.202 3.202 0.000
1.247 1.601 6.585
1.601 4.449 9.219
1.601 5.156 3.951
1.954 1.601 1.317
4.449 4.802 1.317
4.802 1.247 3.951
4.802 1.954 9.219
5.156 4.802 6.585

---

ScBeTe2 (SCAN, PBEsol geometry); volume = 90.6 Å³ per cell; uncorrected formation energy = -0.50 eV per atom
1.0
3.927 0.000 0.000
0.000 3.927 0.000
0.000 0.000 5.876
Sc Be Te
1 1 2
Cartesian
0.000 0.000 0.000
1.964 1.964 3.651
0.000 0.000 3.032
1.964 1.964 0.273

---

ScBe3Te (SCAN, PBEsol geometry); volume = 97.5 Å³ per cell; uncorrected formation energy = 1.12 eV per atom
1.0
4.603 0.000 0.000
0.000 4.603 0.000
0.000 0.000 4.603
Sc Be Te
1 3 1
Cartesian
0.000 0.000 0.000
0.000 2.302 2.302
2.302 0.000 2.302
2.302 2.302 0.000
2.302 2.302 2.302

---

ScTiBe2 (SCAN, PBEsol geometry); volume = 221.1 Å³ per cell; ΔH_f (0 K) = -0.037 eV per atom
1.0
6.047 0.000 0.000
0.000 6.047 0.000
0.000 0.000 6.047
Sc Ti Be
4 4 8
Cartesian
0.000 0.000 0.000
0.000 3.023 3.023
3.023 0.000 3.023
3.023 3.023 0.000
0.000 0.000 3.023
0.000 3.023 0.000
3.023 0.000 0.000
3.023 3.023 3.023
1.512 1.512 1.512
1.512 1.512 4.535
1.512 4.535 1.512
1.512 4.535 4.535
4.535 1.512 1.512
4.535 1.512 4.535
4.535 4.535 1.512
4.535 4.535 4.535

---

ScTiBe3 (SCAN, PBEsol geometry); volume = 80.1 Å³ per cell; ΔH_f (0 K) = 0.891 eV per atom
1.0
4.311 0.000 0.000
0.000 4.311 0.000
0.000 0.000 4.311
Sc Ti Be
1 1 3
Cartesian
0.000 0.000 0.000
2.155 2.155 2.155
0.000 2.155 2.155
2.155 0.000 2.155
2.155 2.155 0.000

---

ScBe2Tl (SCAN, PBEsol geometry); volume = 62.4 Å³ per cell; ΔH_f (0 K) = 0.096 eV per atom; distance to the lowest polymorph of the same formula = 64 meV/atom
1.0
4.140 0.000 0.000
0.000 4.140 0.000
0.000 0.000 3.640
Sc Be Tl
1 2 1
Cartesian
0.000 0.000 0.000
0.000 2.070 1.820
2.070 0.000 1.820
2.070 2.070 0.000

---

ScBeTl2 (SCAN, PBEsol geometry); volume = 79.1 Å³ per cell; ΔH_f (0 K) = 0.117 eV per atom
1.0
3.389 0.000 0.000
0.000 3.389 0.000
0.000 0.000 6.889
Sc Be Tl
1 1 2
Cartesian
0.000 0.000 0.000
0.000 0.000 3.444
1.694 1.694 1.936
1.694 1.694 4.952

---

Among the records above, which one has the highest volume? number 2

---

Which of these has the highest volume? number 2

---

Look up the volume of the third one. 90.6 Å³ per cell

---

Please write out number 6 again, unchanged.
ScTiBe3 (SCAN, PBEsol geometry); volume = 80.1 Å³ per cell; ΔH_f (0 K) = 0.891 eV per atom
1.0
4.311 0.000 0.000
0.000 4.311 0.000
0.000 0.000 4.311
Sc Ti Be
1 1 3
Cartesian
0.000 0.000 0.000
2.155 2.155 2.155
0.000 2.155 2.155
2.155 0.000 2.155
2.155 2.155 0.000